P:
This record from the Alexandria database describes a relaxed structure of VZnPt4. The functional is PBE.

## Properties
The density of states at the Fermi level comes out at 2.70 states/eV/f.u.

Structure (POSCAR):
```
VZnPt4
1.0
7.7785 0.0000 0.0000
0.0000 3.8751 0.0000
-3.4432 0.0000 6.7757
V Zn Pt
2 2 8
direct
0.0000 0.0000 0.0000 V
0.5000 0.5000 0.0000 V
0.0000 0.5000 0.5000 Zn
0.5000 0.0000 0.5000 Zn
0.1269 0.5000 0.8774 Pt
0.1315 0.0000 0.3684 Pt
0.3685 0.5000 0.6316 Pt
0.3731 0.0000 0.1226 Pt
0.6269 0.0000 0.8774 Pt
0.6315 0.5000 0.3684 Pt
0.8685 0.0000 0.6316 Pt
0.8731 0.5000 0.1226 Pt
```



Q:
This record from the Alexandria database describes a relaxed structure of VZnPt4. The functional is PBE.

## Properties
The density of states at the Fermi level comes out at 3.92 states/eV/f.u.

Structure (POSCAR):
```
VZnPt4
1.0
3.2082 0.0000 0.0000
0.0000 3.2082 0.0000
0.0000 0.0000 8.8611
V Zn Pt
1 1 4
direct
0.0000 0.0000 0.0000 V
0.5000 0.5000 0.5000 Zn
0.0000 0.0000 0.3381 Pt
0.0000 0.0000 0.6619 Pt
0.5000 0.5000 0.1486 Pt
0.5000 0.5000 0.8514 Pt
```



Relative energies, in kJ/mol of atoms, with the most stable structure set to zero: P 5.6; Q 0.0.



P:
This record from the Alexandria database describes a relaxed structure of Zr3VPt. The functional is PBE.

## Properties
The density of states at the Fermi level comes out at 8.10 states/eV/f.u.

Structure (POSCAR):
```
Zr3VPt
1.0
4.7793 0.0000 0.0000
0.0000 4.7793 0.0000
0.0000 0.0000 4.7793
Zr V Pt
3 1 1
direct
0.0000 0.0000 0.5000 Zr
0.0000 0.5000 0.0000 Zr
0.5000 0.0000 0.0000 Zr
0.0000 0.0000 0.0000 V
0.5000 0.5000 0.5000 Pt
```



Q:
This record from the Alexandria database describes a relaxed structure of Zr3VPt. The functional is PBE.

## Properties
The density of states at the Fermi level comes out at 8.01 states/eV/f.u.

Structure (POSCAR):
```
Zr3VPt
1.0
5.0941 0.0000 0.0000
0.0000 5.0941 0.0000
0.0000 0.0000 5.0941
Zr V Pt
3 1 1
direct
0.0000 0.0000 0.5000 Zr
0.0000 0.5000 0.0000 Zr
0.5000 0.0000 0.0000 Zr
0.5000 0.5000 0.5000 V
0.0000 0.0000 0.0000 Pt
```



Relative energies, in kJ/mol of atoms, with the most stable structure set to zero: P 0.0; Q 4.2.



P:
This record from the Alexandria database describes a relaxed structure of PtW4. The functional is PBE.

## Properties
The density of states at the Fermi level comes out at 6.55 states/eV/f.u.

Structure (POSCAR):
```
PtW4
1.0
5.8479 0.0000 0.0000
0.0000 5.8479 0.0000
0.0000 0.0000 5.8479
Pt W
2 8
direct
0.0000 0.0000 0.0000 Pt
0.5000 0.5000 0.5000 Pt
0.2500 0.2500 0.2500 W
0.2500 0.2500 0.7500 W
0.2500 0.7500 0.2500 W
0.2500 0.7500 0.7500 W
0.7500 0.2500 0.2500 W
0.7500 0.2500 0.7500 W
0.7500 0.7500 0.2500 W
0.7500 0.7500 0.7500 W
```



Q:
This record from the Alexandria database describes a relaxed structure of PtW4. The functional is PBE.

## Properties
The density of states at the Fermi level comes out at 6.20 states/eV/f.u.

Structure (POSCAR):
```
PtW4
1.0
4.7066 0.0000 0.0000
0.0000 4.7066 0.0000
0.0000 0.0000 4.7066
Pt W
1 4
direct
0.0000 0.0000 0.0000 Pt
0.0000 0.0000 0.5000 W
0.0000 0.5000 0.0000 W
0.5000 0.0000 0.0000 W
0.5000 0.5000 0.5000 W
```



Relative energies, in kJ/mol of atoms, with the most stable structure set to zero: P 0.0; Q 73.5.



P:
This record from the Alexandria database describes a relaxed structure of Pt5W. The functional is PBE.

## Properties
The density of states at the Fermi level comes out at 3.92 states/eV/f.u.

Structure (POSCAR):
```
Pt5W
1.0
0.0000 3.6648 3.6648
3.6648 0.0000 3.6648
3.6648 3.6648 0.0000
Pt W
5 1
direct
0.0000 0.0000 0.0000 Pt
0.1254 0.6249 0.6249 Pt
0.6249 0.1254 0.6249 Pt
0.6249 0.6249 0.1254 Pt
0.6249 0.6249 0.6249 Pt
0.2500 0.2500 0.2500 W
```



Q:
This record from the Alexandria database describes a relaxed structure of Pt5W. The functional is PBE.

## Properties
The density of states at the Fermi level comes out at 7.65 states/eV/f.u.

Structure (POSCAR):
```
Pt5W
1.0
5.1260 0.0000 0.0000
-2.5630 4.4392 0.0000
0.0000 0.0000 4.6063
Pt W
5 1
direct
0.0000 0.5000 0.0000 Pt
0.3333 0.6667 0.5000 Pt
0.5000 0.0000 0.0000 Pt
0.5000 0.5000 0.0000 Pt
0.6667 0.3333 0.5000 Pt
0.0000 0.0000 0.5000 W
```



R:
This record from the Alexandria database describes a relaxed structure of Pt5W. The functional is PBE.

## Properties
The density of states at the Fermi level comes out at 6.14 states/eV/f.u.

Structure (POSCAR):
```
Pt5W
1.0
10.4860 0.0000 0.0000
0.0000 2.8390 0.0000
-1.7974 0.0000 6.3452
Pt W
10 2
direct
0.0000 0.0000 0.0000 Pt
0.0488 0.0000 0.6103 Pt
0.1642 0.5000 0.3306 Pt
0.3217 0.0000 0.6765 Pt
0.3761 0.0000 0.2594 Pt
0.5000 0.5000 0.0000 Pt
0.5488 0.5000 0.6103 Pt
0.6642 0.0000 0.3306 Pt
0.8217 0.5000 0.6765 Pt
0.8761 0.5000 0.2594 Pt
0.2113 0.5000 0.9411 W
0.7113 0.0000 0.9411 W
```



S:
This record from the Alexandria database describes a relaxed structure of Pt5W. The functional is PBE.

## Properties
The density of states at the Fermi level comes out at 7.34 states/eV/f.u.

Structure (POSCAR):
```
Pt5W
1.0
4.8556 0.0000 0.0000
-2.4278 4.2051 0.0000
0.0000 0.0000 4.5922
Pt W
5 1
direct
0.0000 0.6725 0.0000 Pt
0.3275 0.3275 0.0000 Pt
0.3333 0.6667 0.5000 Pt
0.6667 0.3333 0.5000 Pt
0.6725 0.0000 0.0000 Pt
0.0000 0.0000 0.5000 W
```



Relative energies, in kJ/mol of atoms, with the most stable structure set to zero: P 41.2; Q 65.7; R 4.1; S 0.0.



P:
This record from the Alexandria database describes a relaxed structure of YPt2W. The functional is PBE.

## Properties
The density of states at the Fermi level comes out at 4.20 states/eV/f.u.

Structure (POSCAR):
```
YPt2W
1.0
2.9624 0.0000 0.0000
-1.4812 2.5655 0.0000
0.0000 0.0000 28.7335
Y Pt W
3 6 3
direct
0.0000 0.0000 0.0000 Y
0.3333 0.6667 0.6667 Y
0.6667 0.3333 0.3333 Y
0.0000 0.0000 0.2486 Pt
0.0000 0.0000 0.4999 Pt
0.3333 0.6667 0.1666 Pt
0.3333 0.6667 0.9153 Pt
0.6667 0.3333 0.5820 Pt
0.6667 0.3333 0.8333 Pt
0.0000 0.0000 0.7606 W
0.3333 0.6667 0.4272 W
0.6667 0.3333 0.0939 W
```



Q:
This record from the Alexandria database describes a relaxed structure of YPt2W. The functional is PBE.

## Properties
The density of states at the Fermi level comes out at 4.65 states/eV/f.u.

Structure (POSCAR):
```
YPt2W
1.0
2.9282 0.0000 0.0000
0.0000 2.9282 0.0000
0.0000 0.0000 8.2702
Y Pt W
1 2 1
direct
0.0000 0.0000 0.0000 Y
0.5000 0.5000 0.2731 Pt
0.5000 0.5000 0.7269 Pt
0.0000 0.0000 0.5000 W
```



R:
This record from the Alexandria database describes a relaxed structure of YPt2W. The functional is PBE.

## Properties
The density of states at the Fermi level comes out at 3.92 states/eV/f.u.

Structure (POSCAR):
```
YPt2W
1.0
5.0052 0.0000 0.0000
0.0000 5.0052 0.0000
0.0000 0.0000 2.8785
Y Pt W
1 2 1
direct
0.0000 0.0000 0.0000 Y
0.0000 0.5000 0.5000 Pt
0.5000 0.0000 0.5000 Pt
0.5000 0.5000 0.0000 W
```



Relative energies, in kJ/mol of atoms, with the most stable structure set to zero: P 49.8; Q 0.0; R 7.2.